(1)
A relaxed ZnPb2IO6 crystal. Source: Alexandria, functional GGA-PBE.

POSCAR file:
```
ZnPb2IO6
1.0
-5.729 0.955 0.108
-0.511 -3.574 4.533
1.161 6.315 5.110
Zn Pb I O
2 4 2 12
Cartesian
-2.864 0.478 0.054
0.325 1.370 4.821
-0.247 -1.925 5.710
-2.296 3.350 6.240
-4.831 5.621 4.041
-2.782 0.346 3.511
-2.284 3.635 2.609
-0.255 -1.787 2.266
-1.833 -2.158 3.473
-4.141 1.308 6.296
-3.245 5.855 6.278
-0.937 2.388 3.455
-1.421 0.605 5.761
-3.720 4.131 8.508
-3.657 3.091 3.990
-1.358 -0.435 1.243
-5.388 0.612 3.653
-2.188 1.576 8.331
0.310 3.084 6.098
-2.889 2.120 1.420
```

Calculated values
Total DFT energy (no corrections)   -0.352 Ry/atom
Space-group type   P2_1/c (14)
Raw formation energy   -7.94 eV/f.u.
Fermi-level density of states   0.15 states/eV/atom



(2)
A relaxed KYBiAs2 crystal. Source: Alexandria, functional GGA-PBE.

POSCAR file:
```
KYBiAs2
1.0
-2.549 -2.756 3.921
4.163 -3.311 0.378
2.239 3.242 3.734
Y As K Bi
1 2 1 1
Cartesian
2.081 -1.655 0.189
1.120 1.621 1.867
-1.274 -1.378 1.961
0.000 0.000 0.000
1.927 -1.413 4.017
```

Calculated values
Total DFT energy (no corrections)   -0.229 Ry/atom
Space-group type   P4/mmm (123)
Energy of formation from the pure elements   1.027 eV/atom
Fermi-level density of states   0.71 states/eV/atom



(3)
A relaxed ZnCdSiAg2 crystal. Source: Alexandria, functional GGA-PBE.

POSCAR file:
```
ZnCdSiAg2
1.0
-4.523 1.935 0.388
-1.434 -2.673 -3.382
-1.212 -3.489 3.272
Zn Si Ag Cd
1 1 2 1
Cartesian
0.000 0.000 0.000
-0.717 -1.337 -1.691
-0.606 -1.745 1.636
-2.261 0.968 0.194
-3.585 -2.114 0.139
```

Calculated values
Total DFT energy (no corrections)   -0.157 Ry/atom
Space-group type   P4/mmm (123)
Raw formation energy   2.63 eV/f.u.
Fermi-level density of states   0.37 states/eV/atom



(4)
A relaxed ZnCrP2 crystal. Source: Alexandria, functional GGA-PBE.

POSCAR file:
```
ZnCrP2
1.0
4.074 0.005 -0.006
2.929 2.832 -0.006
0.605 0.245 4.875
Cr P Zn
1 2 1
Cartesian
1.902 0.771 1.216
6.856 2.777 0.311
3.952 1.601 2.108
5.706 2.312 3.647
```

Calculated values
Total DFT energy (no corrections)   -0.397 Ry/atom
Space-group type   C2/m (12)
Energy of formation from the pure elements   0.033 eV/atom
Fermi-level density of states   0.64 states/eV/atom



What did the fourth record say?
A relaxed ZnCrP2 crystal. Source: Alexandria, functional GGA-PBE.

POSCAR file:
```
ZnCrP2
1.0
4.074 0.005 -0.006
2.929 2.832 -0.006
0.605 0.245 4.875
Cr P Zn
1 2 1
Cartesian
1.902 0.771 1.216
6.856 2.777 0.311
3.952 1.601 2.108
5.706 2.312 3.647
```

Calculated values
Total DFT energy (no corrections)   -0.397 Ry/atom
Space-group type   C2/m (12)
Energy of formation from the pure elements   0.033 eV/atom
Fermi-level density of states   0.64 states/eV/atom